[1]
An optimized crystal structure of PrDyHo2Se6. Source: Alexandria, functional PBE.

Summary:
Formation energy without anion corrections: -1844.0 meV per atom

Lattice parameters (Å, degrees): 7.2783 7.2783 19.4880 90.00 90.00 120.00
Closest atoms and distances in Å follow each position.
Space group R3 (No. 146, hexagonal axes)
One atom of each set of equivalent atoms:
1 Pr 0.0000 0.0000 0.0000  6 Se 2.94-3.05
2 Dy 0.0000 0.0000 0.4939  6 Se 2.86-2.91
3 Ho 0.0000 0.0000 0.2963  6 Se 2.84-2.89
4 Ho 0.0000 0.0000 0.8001  6 Se 2.82-2.89
5 Se 0.0052 0.3105 0.8937  2 Ho 2.84-2.89, 1 Dy 2.86, 1 Pr 3.05
6 Se 0.0242 0.6430 0.0610  2 Ho 2.82-2.89, 1 Dy 2.91, 1 Pr 2.94


[2]
An optimized crystal structure of ScB2C2. Source: Alexandria, functional PBE.

Summary:
Calculated total energy: -161.735 eV/cell

Lattice parameters (Å, degrees): 5.2841 10.2066 3.4451 90.00 90.00 90.00
Closest atoms and distances in Å follow each position.
Space group Pbam (No. 55)
One atom of each set of equivalent atoms:
1 Sc 0.1369 0.1489 0.0000  6 C 2.44-2.53, 8 B 2.52-2.56
2 B 0.0135 0.6890 0.5000  3 C 1.56-1.64
3 B 0.1440 0.9646 0.5000  2 C 1.55-1.62, 1 B 1.68
4 C 0.1073 0.5445 0.5000  1 C 1.45, 2 B 1.55-1.56
5 C 0.2034 0.8091 0.5000  3 B 1.58-1.64


[3]
An optimized crystal structure of Tb2CeEr9. Source: Alexandria, functional PBE.

Summary:
Calculated total energy: -55.827 eV/cell

Lattice parameters (Å, degrees): 4.9736 4.9736 14.9101 90.00 90.00 90.00
Closest atoms and distances in Å follow each position.
Space group P4/mmm (No. 123)
One atom of each set of equivalent atoms:
1 Tb 0.0000 0.0000 0.1678  12 Er 3.52-3.53
2 Ce 0.0000 0.0000 0.5000  12 Er 3.50-3.52
3 Er 0.0000 0.5000 0.0000  8 Er 3.50-3.52, 4 Tb 3.53
4 Er 0.0000 0.5000 0.3345  2 Ce 3.50, 8 Er 3.50-3.54, 2 Tb 3.52
5 Er 0.5000 0.5000 0.1655  8 Er 3.50-3.54, 4 Tb 3.52
6 Er 0.5000 0.5000 0.5000  8 Er 3.50, 4 Ce 3.52


Copy entry 3 word for word.
An optimized crystal structure of Tb2CeEr9. Source: Alexandria, functional PBE.

Summary:
Calculated total energy: -55.827 eV/cell

Lattice parameters (Å, degrees): 4.9736 4.9736 14.9101 90.00 90.00 90.00
Closest atoms and distances in Å follow each position.
Space group P4/mmm (No. 123)
One atom of each set of equivalent atoms:
1 Tb 0.0000 0.0000 0.1678  12 Er 3.52-3.53
2 Ce 0.0000 0.0000 0.5000  12 Er 3.50-3.52
3 Er 0.0000 0.5000 0.0000  8 Er 3.50-3.52, 4 Tb 3.53
4 Er 0.0000 0.5000 0.3345  2 Ce 3.50, 8 Er 3.50-3.54, 2 Tb 3.52
5 Er 0.5000 0.5000 0.1655  8 Er 3.50-3.54, 4 Tb 3.52
6 Er 0.5000 0.5000 0.5000  8 Er 3.50, 4 Ce 3.52